No. 1
A plane-wave DFT calculation with PBE-GGA was carried out for an optimized crystal structure of La3Pr.

Unit cell a=7.4504 b=10.5482 c=3.7177 alpha=90.00 beta=90.00 gamma=90.00
Last column: nearest neighbours and their distance in Å.
Positions (direct):
La1 0.0000 0.0000 0.0000  10 La 3.72-3.73, 2 Pr 3.73
La2 0.2500 0.2500 0.5000  8 La 3.72-3.73, 4 Pr 3.73
La3 0.2500 0.7500 0.5000  8 La 3.72-3.73, 4 Pr 3.73
La4 0.5000 0.5000 0.0000  10 La 3.72-3.73, 2 Pr 3.73
La5 0.7500 0.2500 0.5000  8 La 3.72-3.73, 4 Pr 3.73
La6 0.7500 0.7500 0.5000  8 La 3.72-3.73, 4 Pr 3.73
Pr1 0.0000 0.5000 0.0000  2 Pr 3.72, 10 La 3.73
Pr2 0.5000 0.0000 0.0000  2 Pr 3.72, 10 La 3.73

magnetic moment: 0.00 μB/cell
theoretical density: 6.3 Mg/m³
energy of formation from the pure elements: 0.009 eV/atom
density of states at the Fermi level: 16.4 states/eV per cell


No. 2
A plane-wave DFT calculation with PBE-GGA was carried out for an optimized crystal structure of La4Pr3.

Unit cell a=4.4042 b=4.4042 c=26.3179 alpha=90.00 beta=90.00 gamma=90.00
Last column: nearest neighbours and their distance in Å.
Positions (direct):
La1 0.0000 0.0000 0.0700  5 Pr 3.62-3.82, 5 La 3.67-3.68
La2 0.0000 0.0000 0.3564  6 Pr 3.64-3.78, 4 La 3.67
La3 0.0000 0.0000 0.6436  6 Pr 3.64-3.78, 4 La 3.67
La4 0.0000 0.0000 0.9300  5 Pr 3.62-3.82, 5 La 3.67-3.68
La5 0.5000 0.5000 0.1436  6 Pr 3.64-3.78, 4 La 3.67
La6 0.5000 0.5000 0.4300  5 Pr 3.62-3.82, 5 La 3.67-3.68
La7 0.5000 0.5000 0.5700  5 Pr 3.62-3.82, 5 La 3.67-3.68
La8 0.5000 0.5000 0.8564  6 Pr 3.64-3.78, 4 La 3.67
Pr1 0.0000 0.0000 0.2151  4 Pr 3.62, 6 La 3.64-3.82
Pr2 0.0000 0.0000 0.5000  10 La 3.62-3.78
Pr3 0.0000 0.0000 0.7849  4 Pr 3.62, 6 La 3.64-3.82
Pr4 0.5000 0.5000 0.0000  10 La 3.62-3.78
Pr5 0.5000 0.5000 0.2849  4 Pr 3.62, 6 La 3.64-3.82
Pr6 0.5000 0.5000 0.7151  4 Pr 3.62, 6 La 3.64-3.82

magnetic moment: 0.00 μB/cell
theoretical density: 6.4 Mg/m³
energy of formation from the pure elements: 0.097 eV/atom
density of states at the Fermi level: 33.6 states/eV per cell


No. 3
A plane-wave DFT calculation with PBE-GGA was carried out for an optimized crystal structure of La4Pr5.

Unit cell a=8.3175 b=8.3175 c=8.3175 alpha=95.80 beta=95.80 gamma=142.92
Last column: nearest neighbours and their distance in Å.
Positions (direct):
La1 0.1668 0.1668 0.3336  8 Pr 3.72-3.73, 4 La 3.72-3.73
La2 0.1668 0.8332 0.0000  8 Pr 3.72-3.73, 4 La 3.72-3.73
La3 0.8332 0.1668 0.0000  8 Pr 3.72-3.73, 4 La 3.72-3.73
La4 0.8332 0.8332 0.6664  8 Pr 3.72-3.73, 4 La 3.72-3.73
Pr1 0.1663 0.5000 0.6663  6 Pr 3.71-3.73, 6 La 3.72-3.73
Pr2 0.5000 0.1663 0.6663  6 Pr 3.71-3.73, 6 La 3.72-3.73
Pr3 0.5000 0.5000 0.0000  4 Pr 3.72, 8 La 3.73
Pr4 0.5000 0.8337 0.3337  6 Pr 3.71-3.73, 6 La 3.72-3.73
Pr5 0.8337 0.5000 0.3337  6 Pr 3.71-3.73, 6 La 3.72-3.73

magnetic moment: 0.00 μB/cell
theoretical density: 6.4 Mg/m³
energy of formation from the pure elements: 0.012 eV/atom
density of states at the Fermi level: 17.6 states/eV per cell


No. 4
A plane-wave DFT calculation with PBE-GGA was carried out for an optimized crystal structure of La13Pr2.

Unit cell a=6.9271 b=9.3439 c=9.3453 alpha=66.92 beta=82.45 gamma=82.35
Last column: nearest neighbours and their distance in Å.
Positions (direct):
La1 0.0000 0.0000 0.0000  12 La 3.61-3.89, 2 Pr 3.87
La2 0.1005 0.4353 0.7693  3 La 3.40-3.57, 2 Pr 3.44-3.63
La3 0.1965 0.1957 0.2058  12 La 3.61-3.92, 2 Pr 3.83-3.84
La4 0.3005 0.6297 0.9694  5 La 3.37-3.60
La5 0.3035 0.9636 0.6387  5 La 3.42-3.83, 2 Pr 3.45-3.65
La6 0.3974 0.3987 0.4031  11 La 3.60-3.90, 3 Pr 3.85-3.87
La7 0.4990 0.1673 0.8351  4 La 3.42-3.60, 1 Pr 3.43
La8 0.5010 0.8327 0.1649  4 La 3.42-3.60, 1 Pr 3.43
La9 0.6026 0.6013 0.5969  11 La 3.60-3.90, 3 Pr 3.85-3.87
La10 0.6965 0.0364 0.3613  5 La 3.42-3.83, 2 Pr 3.45-3.65
La11 0.6995 0.3703 0.0306  5 La 3.37-3.60
La12 0.8035 0.8043 0.7942  12 La 3.61-3.92, 2 Pr 3.83-3.84
La13 0.8995 0.5647 0.2307  3 La 3.40-3.57, 2 Pr 3.44-3.63
Pr1 0.1002 0.7662 0.4320  7 La 3.43-3.84
Pr2 0.8998 0.2338 0.5680  7 La 3.43-3.84

magnetic moment: 0.00 μB/cell
theoretical density: 6.3 Mg/m³
energy of formation from the pure elements: 0.033 eV/atom
density of states at the Fermi level: 24.1 states/eV per cell


No. 5
A plane-wave DFT calculation with PBE-GGA was carried out for an optimized crystal structure of La3PrPt.

Unit cell a=6.5212 b=6.5212 c=14.2964 alpha=110.90 beta=110.90 gamma=35.15
Last column: nearest neighbours and their distance in Å.
Positions (direct):
La1 0.0000 0.0000 0.0000  1 Pt 3.55, 3 Pr 3.60-3.65, 8 La 3.63-3.94
La2 0.0198 0.0198 0.3768  2 Pt 3.06
La3 0.3455 0.3455 0.7640  2 Pt 3.03
La4 0.3684 0.3684 0.1418  9 La 3.59-3.94, 1 Pt 3.60, 2 Pr 3.80
La5 0.6797 0.6797 0.2306  2 Pt 3.00
La6 0.8017 0.8017 0.5239  2 Pt 2.97
Pr1 0.5648 0.5648 0.6193  2 Pt 2.99
Pr2 0.6880 0.6880 0.9087  2 Pt 3.00
Pt1 0.0305 0.0305 0.7627  4 Pr 2.99-3.00, 2 La 3.03
Pt2 0.3324 0.3324 0.3803  6 La 2.97-3.06

magnetic moment: 0.00 μB/cell
theoretical density: 7.7 Mg/m³
energy of formation from the pure elements: -0.482 eV/atom
density of states at the Fermi level: 14.3 states/eV per cell


No. 6
A plane-wave DFT calculation with PBE-GGA was carried out for an optimized crystal structure of LaPr6Pt4.

Unit cell a=6.1391 b=6.1391 c=9.4016 alpha=107.03 beta=107.03 gamma=95.66
Last column: nearest neighbours and their distance in Å.
Positions (direct):
La1 0.0000 0.0000 0.0000  2 Pt 2.87-2.89, 4 Pr 3.11-3.14
Pr1 0.0260 0.5351 0.0679  2 Pt 3.03-3.06, 2 La 3.11-3.14
Pr2 0.1130 0.5697 0.6849  5 Pt 2.98-3.21
Pr3 0.4644 0.4644 0.4041  5 Pt 2.94-3.14
Pr4 0.5351 0.0260 0.0679  2 Pt 3.03-3.06, 2 La 3.11-3.14
Pr5 0.5697 0.1130 0.6849  5 Pt 2.98-3.21
Pr6 0.9405 0.9405 0.4066  5 Pt 2.92-3.16
Pt1 0.1144 0.1144 0.7522  1 La 2.87, 3 Pr 2.92-3.04
Pt2 0.4025 0.9285 0.3332  7 Pr 2.98-3.16
Pt3 0.6360 0.6360 0.7510  1 La 2.89, 5 Pr 2.94-3.21
Pt4 0.9285 0.4025 0.3332  7 Pr 2.98-3.16

magnetic moment: 0.00 μB/cell
theoretical density: 9.2 Mg/m³
energy of formation from the pure elements: -0.708 eV/atom
density of states at the Fermi level: 9.2 states/eV per cell


> Which value of energy of formation from the pure elements does entry 5 give?

-0.482 eV/atom